First-principles (PBE) data for an optimized crystal structure of Dy2TlHg3, as listed in the Alexandria database.

**E_tot**: -28.621 eV per cell
**ΔH_f (0 K)**: -0.31 eV per atom
**ΔE to the lowest computed polymorph**: 18 meV per atom
**Crystal system**: orthorhombic

Lattice parameters (Å, degrees): 8.8980 8.8980 8.8980 137.91 61.09 137.86
Positions (direct):
Dy 0.1580 0.2428 0.4008
Dy 0.3420 0.7428 0.0848
Dy 0.6580 0.2572 0.9152
Dy 0.8420 0.7572 0.5992
Tl 0.2500 0.7500 0.5000
Tl 0.7500 0.2500 0.5000
Hg 0.1459 0.7500 0.8958
Hg 0.2500 0.2500 0.0000
Hg 0.3541 0.2500 0.6041
Hg 0.6459 0.7500 0.3959
Hg 0.7500 0.7500 0.0000
Hg 0.8541 0.2500 0.1042